A relaxed structure of LiTaCoSb. Source: OQMD via LeMat-Bulk, functional PBE-GGA.

Lattice parameters (Å, degrees): 6.3217 6.3217 6.3217 90.00 90.00 90.00
With the nearest neighbours (Å) after each atom.
Space group F-43m (No. 216)
Asymmetric unit:
Li 0.0000 0.0000 0.0000 (multiplicity 4)  4 Ta 2.74, 4 Co 2.74
Ta 0.2500 0.2500 0.2500 (multiplicity 4)  4 Sb 2.74, 4 Li 2.74
Co 0.2500 0.2500 0.7500 (multiplicity 4)  4 Li 2.74, 4 Sb 2.74
Sb 0.0000 0.0000 0.5000 (multiplicity 4)  4 Co 2.74, 4 Ta 2.74

Properties
Total DFT energy (no corrections) in eV/atom: -5.907
Distance to the lowest polymorph of the same formula in meV/atom: 212
Calculated volume in Å³/cell: 252.64